The following is a PBE calculation of a relaxed SiF5 crystal, from Alexandria.

Cell lengths 5.2683, 5.2683, 5.2683 Å; angles 96.72, 96.72, 139.99 degrees
Last column: nearest neighbours and their distance in Å.
Fractional positions:
Si (0.0000, 0.0000, 0.0000)  6 F 1.66-1.80
F (0.0637, 0.7711, 0.8348)  1 Si 1.66
F (0.2289, 0.0637, 0.2926)  1 Si 1.66
F (0.5000, 0.5000, 0.0000)  2 Si 1.80
F (0.7711, 0.9363, 0.7074)  1 Si 1.66
F (0.9363, 0.2289, 0.1652)  1 Si 1.66

Calculated values
calculated volume = 88.3 Å³ per cell
E = -4.906 eV per atom
raw formation energy = -2442 meV/atom
density = 2.31 Mg/m³
DOS at the Fermi energy = 1.52 states/eV/cell
space group = I4/m, No. 87

---

The following is a PBE calculation of a relaxed Si23F3 crystal, from Alexandria.

Cell lengths 10.1148, 10.1148, 10.1148 Å; angles 90.00, 90.00, 90.00 degrees
Last column: nearest neighbours and their distance in Å.
Fractional positions:
Si (0.0000, 0.1147, 0.3125)  4 Si 2.32-2.37
Si (0.0000, 0.1147, 0.6875)  4 Si 2.32-2.37
Si (0.0000, 0.2500, 0.5000)  4 Si 2.34
Si (0.0000, 0.7500, 0.5000)  4 Si 2.34
Si (0.0000, 0.8853, 0.3125)  4 Si 2.32-2.37
Si (0.0000, 0.8853, 0.6875)  4 Si 2.32-2.37
Si (0.1147, 0.3125, 0.0000)  4 Si 2.32-2.37
Si (0.1147, 0.6875, 0.0000)  4 Si 2.32-2.37
Si (0.1827, 0.1827, 0.1827)  4 Si 2.36-2.37
Si (0.1827, 0.1827, 0.8173)  4 Si 2.36-2.37
Si (0.1827, 0.8173, 0.1827)  4 Si 2.36-2.37
Si (0.1827, 0.8173, 0.8173)  4 Si 2.36-2.37
Si (0.1875, 0.3853, 0.5000)  4 Si 2.32-2.37
Si (0.1875, 0.6147, 0.5000)  4 Si 2.32-2.37
Si (0.2500, 0.5000, 0.0000)  4 Si 2.34
Si (0.3125, 0.0000, 0.1147)  4 Si 2.32-2.37
Si (0.3125, 0.0000, 0.8853)  4 Si 2.32-2.37
Si (0.3173, 0.3173, 0.3173)  4 Si 2.36-2.37
Si (0.3173, 0.3173, 0.6827)  4 Si 2.36-2.37
Si (0.3173, 0.6827, 0.3173)  4 Si 2.36-2.37
Si (0.3173, 0.6827, 0.6827)  4 Si 2.36-2.37
Si (0.3853, 0.5000, 0.1875)  4 Si 2.32-2.37
Si (0.3853, 0.5000, 0.8125)  4 Si 2.32-2.37
Si (0.5000, 0.0000, 0.2500)  4 Si 2.34
Si (0.5000, 0.0000, 0.7500)  4 Si 2.34
Si (0.5000, 0.1875, 0.3853)  4 Si 2.32-2.37
Si (0.5000, 0.1875, 0.6147)  4 Si 2.32-2.37
Si (0.5000, 0.8125, 0.3853)  4 Si 2.32-2.37
Si (0.5000, 0.8125, 0.6147)  4 Si 2.32-2.37
Si (0.6147, 0.5000, 0.1875)  4 Si 2.32-2.37
Si (0.6147, 0.5000, 0.8125)  4 Si 2.32-2.37
Si (0.6827, 0.3173, 0.3173)  4 Si 2.36-2.37
Si (0.6827, 0.3173, 0.6827)  4 Si 2.36-2.37
Si (0.6827, 0.6827, 0.3173)  4 Si 2.36-2.37
Si (0.6827, 0.6827, 0.6827)  4 Si 2.36-2.37
Si (0.6875, 0.0000, 0.1147)  4 Si 2.32-2.37
Si (0.6875, 0.0000, 0.8853)  4 Si 2.32-2.37
Si (0.7500, 0.5000, 0.0000)  4 Si 2.34
Si (0.8125, 0.3853, 0.5000)  4 Si 2.32-2.37
Si (0.8125, 0.6147, 0.5000)  4 Si 2.32-2.37
Si (0.8173, 0.1827, 0.1827)  4 Si 2.36-2.37
Si (0.8173, 0.1827, 0.8173)  4 Si 2.36-2.37
Si (0.8173, 0.8173, 0.1827)  4 Si 2.36-2.37
Si (0.8173, 0.8173, 0.8173)  4 Si 2.36-2.37
Si (0.8853, 0.3125, 0.0000)  4 Si 2.32-2.37
Si (0.8853, 0.6875, 0.0000)  4 Si 2.32-2.37
F (0.0000, 0.5000, 0.2500)  20 Si 3.37-3.77
F (0.0000, 0.5000, 0.7500)  20 Si 3.37-3.77
F (0.2500, 0.0000, 0.5000)  20 Si 3.37-3.77
F (0.5000, 0.2500, 0.0000)  20 Si 3.37-3.77
F (0.5000, 0.7500, 0.0000)  20 Si 3.37-3.77
F (0.7500, 0.0000, 0.5000)  20 Si 3.37-3.77

Calculated values
calculated volume = 1034.8 Å³ per cell
E = -5.106 eV per atom
raw formation energy = -93 meV/atom
density = 2.26 Mg/m³
DOS at the Fermi energy = 33.44 states/eV/cell
space group = Pm-3n, No. 223

---

The following is a PBE calculation of a relaxed SiF crystal, from Alexandria.

Cell lengths 3.9639, 3.9639, 6.0425 Å; angles 90.00, 90.00, 120.00 degrees
Last column: nearest neighbours and their distance in Å.
Fractional positions:
Si (0.3333, 0.6667, 0.0575)  1 F 1.63
Si (0.6667, 0.3333, 0.9425)  1 F 1.63
F (0.3333, 0.6667, 0.3279)  1 Si 1.63
F (0.6667, 0.3333, 0.6721)  1 Si 1.63

Calculated values
calculated volume = 82.2 Å³ per cell
E = -5.345 eV per atom
energy relative to the lowest polymorph listed for this composition = 0.000 eV per atom
raw formation energy = -1698 meV/atom
density = 1.90 Mg/m³
DOS at the Fermi energy = 0.01 states/eV/cell
space group = P-3m1, No. 164

---

The following is a PBE calculation of a relaxed SiF crystal, from Alexandria.

Cell lengths 3.6554, 10.9981, 4.7460 Å; angles 90.00, 90.00, 90.00 degrees
Last column: nearest neighbours and their distance in Å.
Fractional positions:
Si (0.2500, 0.0759, 0.0602)  1 F 1.64
Si (0.2500, 0.4241, 0.0602)  1 F 1.64
Si (0.2500, 0.7500, 0.9411)  1 F 1.66
Si (0.7500, 0.2500, 0.0589)  1 F 1.66
Si (0.7500, 0.5759, 0.9398)  1 F 1.64
Si (0.7500, 0.9241, 0.9398)  1 F 1.64
F (0.2500, 0.0719, 0.4053)  1 Si 1.64
F (0.2500, 0.4281, 0.4053)  1 Si 1.64
F (0.2500, 0.7500, 0.5914)  1 Si 1.66
F (0.7500, 0.2500, 0.4086)  1 Si 1.66
F (0.7500, 0.5719, 0.5947)  1 Si 1.64
F (0.7500, 0.9281, 0.5947)  1 Si 1.64

Calculated values
calculated volume = 190.8 Å³ per cell
E = -5.077 eV per atom
energy relative to the lowest polymorph listed for this composition = 0.269 eV per atom
raw formation energy = -1430 meV/atom
density = 2.46 Mg/m³
DOS at the Fermi energy = 1.70 states/eV/cell
space group = Pmmn, No. 59